[1]
An optimized crystal structure of BaZnTc2. Source: the Alexandria database, functional PBE-GGA.

Cell: 3.4692 3.4692 7.2492 Å, 90.00 90.00 90.00°
Closest atoms and distances in Å follow each position.
Space group P4/mmm (No. 123)
One atom of each set of equivalent atoms:
Ba 0.0000 0.0000 0.0000 x1  4 Ba 3.47, 8 Tc 3.52, 2 Zn 3.62
Zn 0.0000 0.0000 0.5000 x1  8 Tc 2.69
Tc 0.5000 0.5000 0.3474 x2  1 Tc 2.21

***

[2]
An optimized crystal structure of BaZnTc2. Source: the Alexandria database, functional PBE-GGA.

Cell: 3.7669 4.7224 5.8299 Å, 90.00 101.67 90.00°
Closest atoms and distances in Å follow each position.
Space group P2/m (No. 10)
One atom of each set of equivalent atoms:
Ba 0.0000 0.0000 0.0000 x1  2 Zn 3.13
Zn 0.5000 0.0000 0.5000 x1  4 Tc 2.63
Tc 0.2862 0.5000 0.6194 x2  2 Tc 2.32-2.33

***

[3]
An optimized crystal structure of BaZnTc2. Source: the Alexandria database, functional PBE-GGA.

Cell: 4.2878 4.2878 4.4315 Å, 90.00 90.00 90.00°
Closest atoms and distances in Å follow each position.
Space group P4/mmm (No. 123)
One atom of each set of equivalent atoms:
Ba 0.0000 0.0000 0.0000 x1  4 Zn 3.03, 8 Tc 3.08
Zn 0.5000 0.5000 0.0000 x1  4 Ba 3.03, 8 Tc 3.08
Tc 0.0000 0.5000 0.5000 x2  4 Tc 3.03, 4 Ba 3.08, 4 Zn 3.08

***

[4]
An optimized crystal structure of BaZnTc2. Source: the Alexandria database, functional PBE-GGA.

Cell: 5.8205 9.7071 3.0860 Å, 90.00 118.21 90.00°
Closest atoms and distances in Å follow each position.
Space group C2/m (No. 12)
One atom of each set of equivalent atoms:
Ba 0.0000 0.0000 0.0000 x2  4 Tc 2.87, 4 Zn 2.91-3.08, 2 Ba 3.09
Zn 0.0000 0.5000 0.0000 x2  4 Tc 2.87, 4 Ba 2.91-3.08, 2 Zn 3.09
Tc 0.2500 0.2500 0.5000 x4  2 Ba 2.87, 2 Zn 2.87, 6 Tc 2.91-3.09

***

[5]
An optimized crystal structure of BaZn2Tc. Source: the Alexandria database, functional PBE-GGA.

Cell: 4.4065 4.4065 9.0710 Å, 90.00 90.00 90.00°
Closest atoms and distances in Å follow each position.
Space group I-4m2 (No. 119)
One atom of each set of equivalent atoms:
Ba 0.0000 0.0000 0.0000 x2  8 Zn 3.12-3.16, 4 Tc 3.16
Zn 0.0000 0.0000 0.5000 x2  4 Ba 3.12, 4 Tc 3.16, 4 Zn 3.16
Zn 0.0000 0.5000 0.2500 x2  4 Tc 3.12, 4 Zn 3.16, 4 Ba 3.16
Tc 0.0000 0.5000 0.7500 x2  8 Zn 3.12-3.16, 4 Ba 3.16

***

[6]
An optimized crystal structure of BaZn2Tc. Source: the Alexandria database, functional PBE-GGA.

Cell: 5.2443 5.2443 2.9815 Å, 90.00 90.00 90.00°
Closest atoms and distances in Å follow each position.
Space group P4/mmm (No. 123)
One atom of each set of equivalent atoms:
Ba 0.0000 0.0000 0.0000 x1  2 Ba 2.98, 8 Zn 3.02
Zn 0.0000 0.5000 0.5000 x2  2 Zn 2.98, 4 Ba 3.02, 4 Tc 3.02
Tc 0.5000 0.5000 0.0000 x1  2 Tc 2.98, 8 Zn 3.02

***

[7]
An optimized crystal structure of BaZn2Tc. Source: the Alexandria database, functional PBE-GGA.

Cell: 4.5179 4.5179 4.2950 Å, 90.00 90.00 90.00°
Closest atoms and distances in Å follow each position.
Space group P4/mmm (No. 123)
One atom of each set of equivalent atoms:
Ba 0.0000 0.0000 0.0000 x1  8 Zn 3.12, 4 Tc 3.19
Zn 0.0000 0.5000 0.5000 x2  4 Ba 3.12, 4 Tc 3.12, 4 Zn 3.19
Tc 0.5000 0.5000 0.0000 x1  8 Zn 3.12, 4 Ba 3.19

***

[8]
An optimized crystal structure of BaZnTc2. Source: the Alexandria database, functional PBE-GGA.

Cell: 5.8405 9.9300 2.7680 Å, 90.00 90.00 90.00°
Closest atoms and distances in Å follow each position.
Space group Cmmm (No. 65)
One atom of each set of equivalent atoms:
Ba 0.0000 0.0000 0.0000 x2  2 Ba 2.77, 2 Zn 2.92
Zn 0.0000 0.5000 0.0000 x2  2 Zn 2.77, 2 Ba 2.92
Tc 0.2500 0.2500 0.5000 x4  4 Tc 2.77-2.92

***

[9]
An optimized crystal structure of BaZn2Tc. Source: the Alexandria database, functional PBE-GGA.

Cell: 4.5621 4.5621 8.3869 Å, 90.00 90.00 90.00°
Closest atoms and distances in Å follow each position.
Space group I4/mmm (No. 139)
One atom of each set of equivalent atoms:
Ba 0.0000 0.0000 0.0000 x2  8 Zn 3.10, 4 Tc 3.23
Zn 0.0000 0.5000 0.2500 x4  4 Ba 3.10, 4 Tc 3.10, 4 Zn 3.23
Tc 0.0000 0.0000 0.5000 x2  8 Zn 3.10, 4 Ba 3.23

***

[10]
An optimized crystal structure of BaZnTc. Source: the Alexandria database, functional PBE-GGA.

Cell: 7.4242 7.4242 7.4242 Å, 90.00 90.00 90.00°
Closest atoms and distances in Å follow each position.
Space group F-43m (No. 216)
One atom of each set of equivalent atoms:
Ba 0.0000 0.0000 0.0000 x4  4 Tc 3.21, 4 Zn 3.21
Zn 0.2500 0.2500 0.2500 x4  4 Ba 3.21
Tc 0.2500 0.2500 0.7500 x4  4 Ba 3.21

***

[11]
An optimized crystal structure of BaZnTc2. Source: the Alexandria database, functional PBE-GGA.

Cell: 2.9098 5.0556 10.6952 Å, 90.00 90.00 90.00°
Closest atoms and distances in Å follow each position.
Space group Immm (No. 71)
One atom of each set of equivalent atoms:
Ba 0.0000 0.0000 0.0000 x2  2 Ba 2.91, 4 Zn 2.92
Zn 0.0000 0.0000 0.5000 x2  4 Tc 2.72, 2 Zn 2.91, 4 Ba 2.92
Tc 0.0000 0.5000 0.2152 x4  2 Zn 2.72, 6 Tc 2.91-3.01

***

[12]
An optimized crystal structure of BaZnTc2. Source: the Alexandria database, functional PBE-GGA.

Cell: 3.9516 5.7705 8.3272 Å, 90.00 90.00 90.00°
Closest atoms and distances in Å follow each position.
Space group Imm2 (No. 44)
One atom of each set of equivalent atoms:
Ba 0.0000 0.0000 0.0000 x2  8 Tc 3.22-3.51, 4 Zn 3.26-3.29
Zn 0.0000 0.5000 0.8113 x2  2 Tc 2.75
Tc 0.0000 0.0000 0.5405 x2  2 Tc 2.35
Tc 0.0000 0.5000 0.1943 x2  2 Tc 2.35

***

It is found that the formation energy from the elements values, taken in the order of the records, are 2.5; 2.3; 4.7; 4.2; 2.9; 2.7; 3.0; 4.9; 2.5; 4.5; 3.8; 3.1 eV per formula unit.
It is found that the V values, taken in the order of the records, are 87.2; 101.6; 81.5; 76.8; 88.1; 82.0; 87.7; 80.3; 87.3; 102.3; 78.7; 94.9 Å³/f.u..